# 1
Entry from Alexandria via LeMat-Bulk: a geometry-optimized TbNdCuPb structure (GGA-PBE).

Computed properties:
Total magnetization   0.29 μB per cell
Energy relative to the elements   -0.30 eV per atom

Cell: 5.299 5.299 5.299 Å, 60.00 60.00 60.00°
Site moments in Bohr magnetons follow the coordinates.
Fractional positions:
Cu: 0.500 0.500 0.500  0.01
Pb: 0.000 0.000 0.000  -0.01
Tb: 0.250 0.250 0.250  0.10
Nd: 0.750 0.750 0.750  0.07



# 2
Entry from Alexandria via LeMat-Bulk: a geometry-optimized Ba12Cd6In structure (GGA-PBE).

Computed properties:
Total magnetization   0.00 μB per cell
Energy relative to the elements   -0.13 eV per atom

Cell: 10.410 10.410 10.410 Å, 109.44 109.44 109.44°
Fractional positions:
Ba: 0.478 0.162 0.369
Ba: 0.162 0.369 0.478
Ba: 0.631 0.522 0.838
Ba: 0.522 0.838 0.631
Ba: 0.369 0.478 0.162
Ba: 0.972 0.874 0.296
In: 0.000 0.000 0.000
Ba: 0.028 0.126 0.704
Cd: 0.881 0.364 0.651
Ba: 0.838 0.631 0.522
Cd: 0.349 0.119 0.636
Cd: 0.364 0.651 0.881
Cd: 0.651 0.881 0.364
Ba: 0.126 0.704 0.028
Cd: 0.119 0.636 0.349
Ba: 0.704 0.028 0.126
Cd: 0.636 0.349 0.119
Ba: 0.874 0.296 0.972
Ba: 0.296 0.972 0.874



Question: The highest energy relative to the elements belongs to which entry?
Answer: Ba12Cd6In